Entry from Alexandria: crystalline La2Pm5PrTm at its relaxed geometry (PBE-GGA).

Output
SG: P4/mbm (127)
DFT formation energy: 0.2390 eV/atom
Volume: 317.2 Å³/f.u.

abc: 8.2252 8.7820 8.7820
angles: 90.00 90.00 90.00
With the nearest neighbours (Å) after each atom.
Fractional positions:
La1 0.5000 0.6191 0.1191  1 La 2.96, 2 Pm 3.09
La2 0.5000 0.1191 0.3809  1 La 2.96, 2 Pm 3.09
La3 0.5000 0.8809 0.6191  1 La 2.96, 2 Pm 3.09
La4 0.5000 0.3809 0.8809  1 La 2.96, 2 Pm 3.09
Pm1 0.5000 0.5000 0.5000  4 La 3.50, 8 Pm 3.90
Pm2 0.5000 0.0000 0.0000  4 La 3.50, 8 Pm 3.90
Pm3 0.2173 0.2172 0.7172  1 La 3.09, 1 Tm 3.24
Pm4 0.2173 0.7828 0.2828  1 La 3.09, 1 Tm 3.24
Pm5 0.2173 0.2828 0.2172  1 La 3.09, 1 Tm 3.24
Pm6 0.2173 0.7172 0.7828  1 La 3.09, 1 Tm 3.24
Pm7 0.7827 0.2172 0.7172  1 La 3.09, 1 Tm 3.24
Pm8 0.7827 0.7172 0.7828  1 La 3.09, 1 Tm 3.24
Pm9 0.7827 0.7828 0.2828  1 La 3.09, 1 Tm 3.24
Pm10 0.7827 0.2828 0.2172  1 La 3.09, 1 Tm 3.24
Pr1 0.0000 0.5000 0.5000  8 Pm 3.61
Pr2 0.0000 0.0000 0.0000  8 Pm 3.61
Tm1 0.0000 0.0000 0.5000  4 Pm 3.24
Tm2 0.0000 0.5000 0.0000  4 Pm 3.24